## ZrCdB (PBE-GGA)

Data for an optimized crystal structure of ZrCdB.

Cell lengths 8.5499, 3.4749, 7.1574 Å; angles 90.00, 99.85, 90.00 degrees
Closest atoms and distances in Å follow each position.
Space group C2/m (No. 12)
Asymmetric unit:
Zr: 0.1221 0.0000 0.3482  5 B 2.42-2.61
Cd: 0.1296 0.5000 0.9141  1 B 2.41
B: 0.0855 0.5000 0.5730  1 B 1.65

energy relative to the lowest polymorph listed for this composition	358.8	meV/atom
E_form	-0.184	eV/atom
total DFT energy (no corrections)	-5.565	eV per atom

## Sr2LiSb4Pt3 (PBE-GGA)

Data for an optimized crystal structure of Sr2LiSb4Pt3.

Cell lengths 4.6794, 4.6794, 10.9932 Å; angles 90.00, 90.00, 90.00 degrees
Closest atoms and distances in Å follow each position.
Space group P-4m2 (No. 115)
Asymmetric unit:
Sr: 0.0000 0.5000 0.2409  8 Sb 3.52-3.69, 2 Li 3.53, 6 Pt 3.53-3.62
Li: 0.5000 0.5000 0.0000  4 Sb 2.75
Sb: 0.0000 0.0000 0.5000  4 Pt 2.72
Sb: 0.0000 0.5000 0.8685  3 Pt 2.67-2.75, 2 Li 2.75
Sb: 0.5000 0.5000 0.5000  4 Pt 2.72
Pt: 0.0000 0.0000 0.0000  4 Sb 2.75
Pt: 0.0000 0.5000 0.6259  5 Sb 2.67-2.72

E_form (uncorrected)	-0.802	eV/atom
total DFT energy (no corrections)	-4.791	eV per atom

## BaTbTl4 (PBE-GGA)

Data for an optimized crystal structure of BaTbTl4.

Cell lengths 9.0979, 9.0979, 9.0979 Å; angles 90.00, 90.00, 90.00 degrees
Closest atoms and distances in Å follow each position.
Space group F-43m (No. 216)
Asymmetric unit:
Ba: 0.0000 0.0000 0.0000  12 Tl 3.77, 4 Tb 3.94
Tb: 0.2500 0.2500 0.7500  12 Tl 3.77, 4 Ba 3.94
Tl: 0.1246 0.1246 0.3754  6 Tl 3.21-3.23

energy relative to the lowest polymorph listed for this composition	0.0	meV/atom
E_form	-0.133	eV/atom
total DFT energy (no corrections)	-2.802	eV per atom

## Pm3PrPt2 (PBE-GGA)

Data for an optimized crystal structure of Pm3PrPt2.

Cell lengths 16.7630, 5.3774, 7.5368 Å; angles 90.00, 94.10, 90.00 degrees
Closest atoms and distances in Å follow each position.
Space group C2/m (No. 12)
Asymmetric unit:
Pm: 0.0351 0.0000 0.2745  3 Pt 2.81-3.00
Pm: 0.1053 0.5000 0.0192  2 Pt 2.84-3.02
Pm: 0.1621 0.5000 0.4937  3 Pt 2.89-3.12
Pr: 0.1951 0.0000 0.8344  3 Pt 2.94-3.16
Pt: 0.0106 0.5000 0.6916  6 Pm 2.81-3.12, 1 Pt 2.89
Pt: 0.2110 0.0000 0.2252  2 Pm 2.89-3.00, 3 Pr 2.94-3.16

energy relative to the lowest polymorph listed for this composition	36.1	meV/atom
E_form	-0.714	eV/atom
total DFT energy (no corrections)	-5.899	eV per atom

## ZrAlV (PBE-GGA)

Data for an optimized crystal structure of ZrAlV.

Cell lengths 9.8052, 3.2321, 7.0008 Å; angles 90.00, 110.38, 90.00 degrees
Closest atoms and distances in Å follow each position.
Space group C2/m (No. 12)
Asymmetric unit:
Zr: 0.1556 0.0000 0.0906  2 V 2.82, 3 Zr 2.87-3.05, 5 Al 2.97-3.12
Al: 0.0064 0.5000 0.7022  5 V 2.72-2.94, 1 Al 2.79, 2 Zr 2.97
V: 0.1869 0.0000 0.5755  2 V 2.48, 4 Al 2.72-2.76

energy relative to the lowest polymorph listed for this composition	103.5	meV/atom
E_form	-0.186	eV/atom
total DFT energy (no corrections)	-7.322	eV per atom

## BaInPb11 (PBE-GGA)

Data for an optimized crystal structure of BaInPb11.

Cell lengths 6.5723, 16.1556, 8.8273 Å; angles 90.00, 111.54, 90.00 degrees
Closest atoms and distances in Å follow each position.
Space group C2/m (No. 12)
Asymmetric unit:
Ba: 0.0000 0.0000 0.0000  18 Pb 4.08-4.41, 2 In 4.43
In: 0.0000 0.5000 0.5000  10 Pb 3.29-3.47
Pb: 0.0000 0.0000 0.5000  2 In 3.29, 8 Pb 3.35-3.50
Pb: 0.1027 0.3929 0.2176  1 In 3.30, 8 Pb 3.34-3.69
Pb: 0.1843 0.1758 0.3562  8 Pb 3.37-3.73, 1 In 3.47
Pb: 0.2500 0.2500 0.0000  10 Pb 3.29-3.59

E_form	-0.088	eV/atom
total DFT energy (no corrections)	-3.584	eV per atom

## Mn2CoP (PBE-GGA)

Data for an optimized crystal structure of Mn2CoP.

Cell lengths 5.5846, 5.5846, 5.5846 Å; angles 90.00, 90.00, 90.00 degrees
Closest atoms and distances in Å follow each position.
Space group F-43m (No. 216)
Asymmetric unit:
Mn: 0.0000 0.0000 0.0000  4 Mn 2.42, 4 P 2.42
Mn: 0.2500 0.2500 0.2500  4 Mn 2.42, 4 Co 2.42
Co: 0.0000 0.0000 0.5000  4 Mn 2.42, 4 P 2.42
P: 0.2500 0.2500 0.7500  4 Mn 2.42, 4 Co 2.42

E_form	-0.245	eV/atom
total DFT energy (no corrections)	-7.959	eV per atom

## MnAs5 (PBE-GGA)

Data for an optimized crystal structure of MnAs5.

Cell lengths 13.0173, 3.3553, 7.6662 Å; angles 90.00, 121.51, 90.00 degrees
Closest atoms and distances in Å follow each position.
Space group Cm (No. 8)
Asymmetric unit:
Mn: 0.0000 0.0000 0.0000  9 As 2.33-2.59
As: 0.0455 0.0000 0.3377  1 Mn 2.33
As: 0.0770 0.5000 0.8365  2 As 2.44-2.51, 2 Mn 2.59
As: 0.1657 0.5000 0.2159  3 As 2.51-2.77, 2 Mn 2.54
As: 0.3627 0.0000 0.7189  2 As 2.44-2.50, 2 Mn 2.57
As: 0.3704 0.0000 0.0522  3 As 2.50-2.75, 2 Mn 2.55

energy relative to the lowest polymorph listed for this composition	0.0	meV/atom
E_form	0.066	eV/atom
total DFT energy (no corrections)	-5.337	eV per atom

## Ca2LaPb2 (PBE-GGA)

Data for an optimized crystal structure of Ca2LaPb2.

Cell lengths 9.3896, 9.3896, 3.7261 Å; angles 90.00, 90.00, 90.00 degrees
Closest atoms and distances in Å follow each position.
Space group P4/mbm (No. 127)
Asymmetric unit:
Ca: 0.1320 0.3680 0.0000  6 Pb 3.23-3.41, 1 Ca 3.51
La: 0.0000 0.0000 0.5000  4 Pb 3.49, 2 La 3.73
Pb: 0.1693 0.6693 0.5000  6 Ca 3.23-3.41, 2 La 3.49

energy relative to the lowest polymorph listed for this composition	3.3	meV/atom
E_form	-0.486	eV/atom
total DFT energy (no corrections)	-3.755	eV per atom

## LaZr2Sc (PBE-GGA)

Data for an optimized crystal structure of LaZr2Sc.

Cell lengths 6.5055, 9.7106, 3.2435 Å; angles 90.00, 90.00, 90.00 degrees
Closest atoms and distances in Å follow each position.
Space group Cmmm (No. 65)
Asymmetric unit:
La: 0.0000 0.0000 0.0000  2 La 3.24, 2 Sc 3.25, 8 Zr 3.34
Zr: 0.2500 0.2500 0.5000  4 Zr 3.24-3.25, 4 La 3.34, 4 Sc 3.34
Sc: 0.0000 0.5000 0.0000  2 Sc 3.24, 2 La 3.25, 8 Zr 3.34

energy relative to the lowest polymorph listed for this composition	65.2	meV/atom
E_form	0.163	eV/atom
total DFT energy (no corrections)	-6.926	eV per atom